First-principles (PBE-GGA) data for a relaxed structure of Li2EuAu, as listed in Alexandria.

Cell and atoms, written as POSCAR:
```
Li2EuAu
1.0
3.649 0.000 0.000
0.000 3.649 0.000
0.000 0.000 6.583
Li Eu Au
2 1 1
direct
0.000 0.000 0.177
0.000 0.000 0.823
0.500 0.500 0.500
0.500 0.500 0.000
```

DOS(E_F)   2.105 states/eV per atom
Energy   -18.391 eV for the cell shown
Total magnetic moment   7.36 μB per cell